# 1
Computed, not measured: V3O5F at its PBEsol-relaxed geometry at the meta-GGA SCAN level of DFT.

a b c (Å): 5.382 5.382 7.201
angles (deg): 69.61 69.61 72.40
Each line ends with the local moment (μB).
Element x y z (fractional)
O 0.602 0.602 0.200  -0.07
O 0.533 0.131 0.168  -0.09
O 0.934 0.934 0.864  -0.10
O 0.467 0.869 0.832  -0.09
O 0.798 0.202 0.500  -0.09
O 0.202 0.798 0.500  -0.09
O 0.131 0.533 0.168  -0.09
O 0.398 0.398 0.800  -0.07
O 0.066 0.066 0.136  -0.10
O 0.869 0.467 0.832  -0.09
V 0.500 0.500 0.500  1.64
V 0.834 0.834 0.145  1.36
V 0.166 0.166 0.855  1.36
V 0.500 0.500 0.000  1.35
V 0.159 0.159 0.320  1.38
V 0.841 0.841 0.680  1.38
F 0.737 0.737 0.467  0.02
F 0.263 0.263 0.533  0.02

Values from the calculation:
Formation energy from raw total energies: -2.7499 eV per atom
ΔE to the lowest computed polymorph: 14 meV per atom
Symmetry: C2/m (12)
Density: 4663 kg/m3
Density of states at the Fermi level: 0.36 states/eV/atom

---

# 2
Computed, not measured: V3OF11 at its PBEsol-relaxed geometry at the meta-GGA SCAN level of DFT.

a b c (Å): 5.080 5.308 14.771
angles (deg): 100.20 90.00 90.00
Each line ends with the local moment (μB).
Element x y z (fractional)
O 0.186 0.028 0.973  0.00
O 0.686 0.972 0.027  0.00
V 0.007 0.416 0.334  1.01
V 0.507 0.916 0.334  1.01
V 0.930 0.772 0.006  0.00
V 0.507 0.584 0.666  1.01
V 0.430 0.228 0.994  0.00
V 0.007 0.084 0.666  1.01
F 0.290 0.519 0.971  0.00
F 0.409 0.951 0.448  -0.05
F 0.110 0.449 0.447  -0.05
F 0.110 0.118 0.779  -0.05
F 0.610 0.882 0.221  -0.05
F 0.910 0.380 0.220  -0.05
F 0.197 0.765 0.638  0.03
F 0.817 0.402 0.694  0.03
F 0.407 0.322 0.113  0.00
F 0.317 0.598 0.306  0.03
F 0.106 0.823 0.110  0.00
F 0.817 0.734 0.362  0.03
F 0.197 0.096 0.306  0.03
F 0.697 0.235 0.362  0.03
F 0.606 0.177 0.890  0.00
F 0.907 0.678 0.887  0.00
F 0.697 0.904 0.694  0.03
F 0.410 0.620 0.780  -0.05
F 0.317 0.266 0.638  0.03
F 0.790 0.481 0.029  0.00
F 0.610 0.551 0.553  -0.05
F 0.909 0.049 0.552  -0.05

Values from the calculation:
Formation energy from raw total energies: -2.9404 eV per atom
ΔE to the lowest computed polymorph: 0 meV per atom
Symmetry: P2_1 (4)
Density: 3201 kg/m3

---

# 3
Computed, not measured: V4OF11 at its PBEsol-relaxed geometry at the meta-GGA SCAN level of DFT.

a b c (Å): 5.150 5.315 8.833
angles (deg): 105.79 90.00 118.98
Each line ends with the local moment (μB).
Element x y z (fractional)
V 0.501 0.252 0.873  1.82
V 0.248 0.748 0.127  1.82
V 0.748 0.766 0.616  1.60
V 0.982 0.234 0.384  1.60
F 0.826 0.507 0.048  0.01
F 0.817 0.493 0.449  0.02
F 0.319 0.493 0.952  0.01
F 0.216 0.499 0.253  0.00
F 0.181 0.008 0.298  0.00
F 0.717 0.501 0.747  0.00
F 0.288 0.000 0.000  0.00
F 0.675 0.996 0.199  0.02
F 0.324 0.507 0.551  0.02
F 0.173 0.992 0.702  0.00
F 0.679 0.004 0.801  0.02
O 0.804 0.000 0.500  -0.22

Values from the calculation:
Formation energy from raw total energies: -3.1636 eV per atom
Symmetry: C2 (5)
Density: 3542 kg/m3
Density of states at the Fermi level: 0.32 states/eV/atom

---

# 4
Computed, not measured: V3O5F at its PBEsol-relaxed geometry at the meta-GGA SCAN level of DFT.

a b c (Å): 4.555 5.372 7.365
angles (deg): 83.86 88.51 88.55
Each line ends with the local moment (μB).
Element x y z (fractional)
F 0.801 0.695 0.604  0.02
F 0.199 0.305 0.396  0.02
O 0.302 0.803 0.403  -0.10
O 0.698 0.197 0.597  -0.10
O 0.806 0.039 0.265  -0.07
O 0.296 0.469 0.730  -0.09
O 0.704 0.531 0.270  -0.09
O 0.206 0.632 0.071  -0.09
O 0.194 0.961 0.735  -0.07
O 0.794 0.368 0.929  -0.09
O 0.704 0.867 0.932  -0.09
O 0.296 0.133 0.068  -0.09
V 0.500 0.500 0.500  1.55
V 0.973 0.329 0.142  1.20
V 0.027 0.671 0.858  1.20
V 0.511 0.841 0.171  1.42
V 0.000 0.000 0.500  1.67
V 0.489 0.159 0.829  1.42

Values from the calculation:
Formation energy from raw total energies: -2.7424 eV per atom
ΔE to the lowest computed polymorph: 22 meV per atom
Symmetry: P-1 (2)
Density: 4670 kg/m3
Density of states at the Fermi level: 0.36 states/eV/atom

---

Question: Which value of density does entry 2 give?
Answer: 3201 kg/m3

---

Question: Which value of formation energy from raw total energies does entry 3 give?
Answer: -3.1636 eV per atom

---

Question: The lowest formation energy from raw total energies belongs to which entry?
Answer: V4OF11